(1)
Tb2YI (PBE-GGA, optimized geometry); uncorrected formation energy = -1.2 eV/f.u.; ΔE to the lowest computed polymorph = 63 meV/atom; size of the total moment = 0.000 μB/atom
1.0
3.6437 0.0000 0.0000
0.0000 3.6437 0.0000
0.0000 0.0000 9.5567
I Y Tb
1 1 2
direct
0.5000 0.5000 0.0000
0.5000 0.5000 0.5000
0.0000 0.0000 0.7574
0.0000 0.0000 0.2426


(2)
Ce5Tl5Ru (PBE-GGA, optimized geometry); energy relative to the elements = -0.1695 eV/atom; size of the total moment = 0.299 μB/atom
1.0
-4.1601 -2.4982 -2.5616
-1.6519 -0.8183 9.3578
-2.1724 6.0193 -2.3423
Ce Tl Ru
5 5 1
direct
0.8513 0.7026 0.0583
0.8515 0.7031 0.6446
0.5000 0.0000 0.0000
0.1485 0.2969 0.3554
0.1487 0.2974 0.9417
0.6994 0.3988 0.1997
0.6389 0.2778 0.6387
0.0000 0.0000 0.5000
0.3611 0.7222 0.3613
0.3006 0.6012 0.8003
0.0000 0.0000 0.0000


(3)
ScBi2As (PBE-GGA, optimized geometry); energy relative to the elements = 0.1158 eV/atom; size of the total moment = 0.000 μB/atom
1.0
-2.7770 4.9443 3.3888
-5.9813 -2.0415 -1.9230
-4.7886 -2.5976 6.3048
Sc As Bi
2 2 4
direct
0.5000 0.5000 0.0000
0.2500 0.7500 0.5000
0.0000 0.0000 0.0000
0.7500 0.2500 0.5000
0.6323 0.1250 0.2500
0.1177 0.6250 0.2500
0.3750 0.3677 0.7500
0.8750 0.8823 0.7500


(4)
Pm6NdY2Mg (PBE-GGA, optimized geometry); energy relative to the elements = 0.1026 eV/atom; size of the total moment = 0.000 μB/atom
1.0
8.9035 -2.3184 -2.4060
0.8386 8.5142 -1.0642
0.8386 -1.3790 8.4689
Pm Nd Y Mg
12 2 4 2
direct
0.0762 0.0774 0.7362
0.4238 0.2638 0.9226
0.9238 0.9226 0.2638
0.5762 0.7362 0.0774
0.3299 0.0354 0.4652
0.1701 0.5348 0.9646
0.6701 0.9646 0.5348
0.8299 0.4652 0.0354
0.0955 0.6719 0.4316
0.4045 0.5684 0.3281
0.9045 0.3281 0.5684
0.5955 0.4316 0.6719
0.2500 0.9325 0.0675
0.7500 0.0675 0.9325
0.4034 0.7987 0.7326
0.0966 0.2674 0.2013
0.5966 0.2013 0.2674
0.9034 0.7326 0.7987
0.2500 0.4019 0.5981
0.7500 0.5981 0.4019


> Number 4 is which compound?

Pm6NdY2Mg


> Look up the size of the total moment of the fourth one.

0.000 μB/atom


> Look up the size of the total moment of the third one.

0.000 μB/atom